Record 1
DFT (PBE) results for CeTmGe2 after structural relaxation.

a b c (Å): 4.7175 4.7175 4.0448
angles (deg): 90.00 90.00 90.00
Space group P4/mmm (No. 123)
Symmetry-distinct sites (fractional):
Ce 0.0000 0.0000 0.0000 x1
Tm 0.5000 0.5000 0.0000 x1
Ge 0.0000 0.5000 0.5000 x2

Output
calculated total energy: -22.142 eV for the cell shown
energy of formation from the pure elements: -0.6254 eV/atom


Record 2
DFT (PBE) results for CuGeRh after structural relaxation.

a b c (Å): 3.1217 3.1217 8.5403
angles (deg): 90.00 90.00 90.00
Space group I4mm (No. 107)
Symmetry-distinct sites (fractional):
Cu 0.0000 0.0000 0.0000 x2
Ge 0.0000 0.0000 0.6581 x2
Rh 0.0000 0.0000 0.3184 x2

Output
calculated total energy: -33.196 eV for the cell shown
energy of formation from the pure elements: -0.1776 eV/atom


Record 3
DFT (PBE) results for HoCuAu2 after structural relaxation.

a b c (Å): 4.5513 4.5513 13.1409
angles (deg): 90.00 90.00 120.00
Space group R-3m (No. 166, hexagonal axes)
Symmetry-distinct sites (fractional):
Ho 0.0000 0.0000 0.0000 x3
Cu 0.0000 0.0000 0.5000 x3
Au 0.0000 0.0000 0.2267 x6

Output
calculated total energy: -52.211 eV for the cell shown
energy of formation from the pure elements: -0.5438 eV/atom


Record 4
DFT (PBE) results for Th3CuTe6 after structural relaxation.

a b c (Å): 12.4041 12.4041 15.8413
angles (deg): 90.00 90.00 120.00
Space group R-3 (No. 148, hexagonal axes)
Symmetry-distinct sites (fractional):
Th 0.0485 0.6003 0.3725 x18
Cu 0.0000 0.0000 0.0000 x3
Cu 0.0000 0.0000 0.5000 x3
Te 0.0029 0.1892 0.1088 x18
Te 0.0368 0.8471 0.3846 x18

Output
energy relative to the lowest polymorph listed for this composition: 1.57 eV per formula unit
calculated total energy: -322.099 eV for the cell shown
formation energy from raw total energies: -8.48 eV per formula unit


Record 5
DFT (PBE) results for AlVGa2 after structural relaxation.

a b c (Å): 9.3235 4.7662 2.8709
angles (deg): 90.00 107.80 90.00
Space group C2 (No. 5)
Symmetry-distinct sites (fractional):
Al 0.0000 0.0000 0.0000 x2
V 0.0000 0.4793 0.5000 x2
Ga 0.2415 0.6537 0.2420 x4

Output
calculated total energy: -38.877 eV for the cell shown
energy of formation from the pure elements: -0.1309 eV/atom